# 1
DFT (GGA-PBE) results for SmEr6Tm2Sc3 after structural relaxation.

Geometry as POSCAR:
```
SmEr6Tm2Sc3
1.0
-1.8856 3.5784 4.4218
0.0926 -5.9397 0.7899
11.0946 1.4707 2.1884
Er Tm Sc Sm
6 2 3 1
Direct
0.4201 0.0863 0.2588
0.0863 0.4201 0.2588
0.9137 0.5799 0.7412
0.2475 0.2475 0.7412
0.7525 0.7525 0.2588
0.5799 0.9137 0.7412
0.6666 0.3334 0.0000
0.3334 0.6666 0.0000
0.8331 0.1669 0.5000
0.5000 0.5000 0.5000
0.1669 0.8331 0.5000
0.0000 0.0000 0.0000
```

* calculated density: 7.73 g cm⁻³
* calculated formation energy: 4.3 kJ per mole of atoms
* spin magnetization: 0.000 μB per formula unit

=====

# 2
DFT (GGA-PBE) results for SmEr2Tm2Sc2 after structural relaxation.

Geometry as POSCAR:
```
SmEr2Tm2Sc2
1.0
-0.6083 -3.0049 1.4100
8.0817 -1.1714 -3.0478
-0.5700 3.5282 7.2729
Sm Er Sc Tm
1 2 2 2
Direct
0.0000 0.0000 0.5000
0.5726 0.1452 0.9163
0.4274 0.8548 0.0837
0.3485 0.6970 0.6071
0.6515 0.3030 0.3929
0.7882 0.5765 0.2084
0.2118 0.4235 0.7916
```

* calculated density: 7.24 g cm⁻³
* calculated formation energy: 17.3 kJ per mole of atoms
* spin magnetization: 0.001 μB per formula unit